[1]
# KCrAs2, optimized geometry, DFT PBE-GGA
data_KCrAs2
_chemical_formula_sum 'K4 Cr4 As8'
_cell_length_a 6.014
_cell_length_b 6.014
_cell_length_c 13.499
_cell_angle_alpha 90.00
_cell_angle_beta 90.00
_cell_angle_gamma 90.00
_space_group_name_H-M_alt 'I 41/a m d'
_space_group_IT_number 141
loop_
_space_group_symop_operation_xyz
'x,y,z'
'-x,-y,-z'
'-y+1/4,x+3/4,z+1/4'
'y+1/4,-x+3/4,-z+1/4'
'-x+1/2,-y,z+1/2'
'x+1/2,y,-z+1/2'
'y+1/4,-x+1/4,z+3/4'
'-y+1/4,x+1/4,-z+3/4'
'x,-y,-z'
'-x,y,z'
'-y+1/4,-x+1/4,-z+3/4'
'y+1/4,x+1/4,z+3/4'
'-x+1/2,y,-z+1/2'
'x+1/2,-y,z+1/2'
'y+1/4,x+3/4,-z+1/4'
'-y+1/4,-x+3/4,z+1/4'
'x+1/2,y+1/2,z+1/2'
'-x+1/2,-y+1/2,-z+1/2'
'-y+3/4,x+1/4,z+3/4'
'y+3/4,-x+1/4,-z+3/4'
'-x,-y+1/2,z'
'x,y+1/2,-z'
'y+3/4,-x+3/4,z+1/4'
'-y+3/4,x+3/4,-z+1/4'
'x+1/2,-y+1/2,-z+1/2'
'-x+1/2,y+1/2,z+1/2'
'-y+3/4,-x+3/4,-z+1/4'
'y+3/4,x+3/4,z+1/4'
'-x,y+1/2,-z'
'x,-y+1/2,z'
'y+3/4,x+1/4,-z+3/4'
'-y+3/4,-x+1/4,z+3/4'
loop_
_atom_site_label
_atom_site_fract_x
_atom_site_fract_y
_atom_site_fract_z
_atom_site_occupancy
K1 0.000 0.250 0.375 1
Cr1 0.000 0.250 0.875 1
As1 0.000 0.000 0.000 1
# Mass density ... 3.3 g/cm3
# E_tot ... -5.130 eV/atom
# Distance to the lowest polymorph of the same formula ... 0.0597 eV/atom
# N(E_F) ... 0.126 states/eV/atom
# E_form ... -48 kJ/mol of formula units


[2]
# La2EuSb, optimized geometry, DFT PBE-GGA
data_La2EuSb
_chemical_formula_sum 'La6 Eu3 Sb3'
_cell_length_a 4.1956
_cell_length_b 4.1956
_cell_length_c 34.1489
_cell_angle_alpha 90.00
_cell_angle_beta 90.00
_cell_angle_gamma 120.00
_space_group_name_H-M_alt 'R -3 m'
_space_group_IT_number 166
_space_group_name_Hall '-R 3 2"'
loop_
_atom_site_label
_atom_site_fract_x
_atom_site_fract_y
_atom_site_fract_z
_atom_site_occupancy
La1 0.0000 0.0000 0.1087 1
Eu1 0.0000 0.0000 0.0000 1
Sb1 0.0000 0.0000 0.5000 1
# Mass density ... 5.3 g/cm3
# E_tot ... -6.370 eV/atom
# Distance to the lowest polymorph of the same formula ... 0.2675 eV/atom
# ΔE_f (raw) ... -0.31 eV/atom
# N(E_F) ... 1.344 states/eV/atom


[3]
# KCd3F, optimized geometry, DFT PBE-GGA
data_KCd3F
_chemical_formula_sum 'K1 Cd3 F1'
_cell_length_a 5.355
_cell_length_b 5.355
_cell_length_c 5.355
_cell_angle_alpha 90.00
_cell_angle_beta 90.00
_cell_angle_gamma 90.00
_space_group_name_H-M_alt 'P m -3 m'
_space_group_IT_number 221
_space_group_name_Hall '-P 4 2 3'
loop_
_atom_site_label
_atom_site_fract_x
_atom_site_fract_y
_atom_site_fract_z
_atom_site_occupancy
K1 0.000 0.000 0.000 1
Cd1 0.000 0.500 0.500 1
F1 0.500 0.500 0.500 1
# Mass density ... 4.3 g/cm3
# E_tot ... -1.579 eV/atom
# Distance to the lowest polymorph of the same formula ... 0.0000 eV/atom
# ΔE_f (raw) ... -0.44 eV/atom
# N(E_F) ... 0.183 states/eV/atom


[4]
# Li3Ga3Rh2, optimized geometry, DFT PBE-GGA
data_Li3Ga3Rh2
_chemical_formula_sum 'Li9 Ga9 Rh6'
_cell_length_a 4.2733
_cell_length_b 4.2733
_cell_length_c 20.9727
_cell_angle_alpha 90.00
_cell_angle_beta 90.00
_cell_angle_gamma 120.00
_space_group_name_H-M_alt 'R 3 m'
_space_group_IT_number 160
_space_group_name_Hall 'R 3 -2"'
loop_
_atom_site_label
_atom_site_fract_x
_atom_site_fract_y
_atom_site_fract_z
_atom_site_occupancy
Li1 0.0000 0.0000 0.0000 1
Li2 0.0000 0.0000 0.1284 1
Li3 0.0000 0.0000 0.6284 1
Ga1 0.0000 0.0000 0.2581 1
Ga2 0.0000 0.0000 0.5062 1
Ga3 0.0000 0.0000 0.7481 1
Rh1 0.0000 0.0000 0.3831 1
Rh2 0.0000 0.0000 0.8729 1
# Mass density ... 6.5 g/cm3
# E_tot ... -4.239 eV/atom
# N(E_F) ... 0.328 states/eV/atom
# E_form ... -423 kJ/mol of formula units


[5]
# LaPm2HoTh, optimized geometry, DFT PBE-GGA
data_LaPm2HoTh
_chemical_formula_sum 'La2 Pm4 Ho2 Th2'
_cell_length_a 8.682
_cell_length_b 6.463
_cell_length_c 6.434
_cell_angle_alpha 90.00
_cell_angle_beta 98.81
_cell_angle_gamma 90.00
_space_group_name_H-M_alt 'P 1 2/c 1'
_space_group_IT_number 13
_space_group_name_Hall '-P 2yc'
loop_
_atom_site_label
_atom_site_fract_x
_atom_site_fract_y
_atom_site_fract_z
_atom_site_occupancy
La1 0.000 0.000 0.000 1
Pm1 0.316 0.314 0.200 1
Ho1 0.500 0.171 0.750 1
Th1 0.000 0.454 0.750 1
# Mass density ... 7.7 g/cm3
# E_tot ... -4.983 eV/atom
# N(E_F) ... 1.405 states/eV/atom
# E_form ... 146 kJ/mol of formula units


[6]
# NdHo9Th2, optimized geometry, DFT PBE-GGA
data_NdHo9Th2
_chemical_formula_sum 'Nd1 Ho9 Th2'
_cell_length_a 5.012
_cell_length_b 5.012
_cell_length_c 15.048
_cell_angle_alpha 90.00
_cell_angle_beta 90.00
_cell_angle_gamma 90.00
_space_group_name_H-M_alt 'P 4/m m m'
_space_group_IT_number 123
_space_group_name_Hall '-P 4 2'
loop_
_atom_site_label
_atom_site_fract_x
_atom_site_fract_y
_atom_site_fract_z
_atom_site_occupancy
Nd1 0.000 0.000 0.000 1
Ho1 0.000 0.500 0.170 1
Ho2 0.000 0.500 0.500 1
Ho3 0.500 0.500 0.000 1
Ho4 0.500 0.500 0.334 1
Th1 0.000 0.000 0.334 1
# Mass density ... 9.2 g/cm3
# E_tot ... -5.037 eV/atom
# Distance to the lowest polymorph of the same formula ... 0.0000 eV/atom
# N(E_F) ... 1.466 states/eV/atom
# E_form ... 35 kJ/mol of formula units